Entry from Alexandria: a relaxed CsBaAu10 crystal (PBE-GGA).

Values from the calculation:
As for the crystal system: orthorhombic. The calculated formation energy comes out at -0.29 eV per atom. The total moment is 0.00 μB per formula unit. The final energy is -0.239 Ry per atom.

Structure (POSCAR):
```
CsBaAu10
1.0
4.4512 0.0000 0.0000
0.0000 6.1192 0.0000
0.0000 0.0000 10.4220
Cs Ba Au
1 1 10
Cartesian
0.0000 0.0000 0.0000 Cs
0.0000 3.0596 5.2110 Ba
0.0000 0.0000 3.4674 Au
0.0000 0.0000 6.9546 Au
0.0000 3.0596 1.7348 Au
0.0000 3.0596 8.6872 Au
2.2256 0.0000 5.2110 Au
2.2256 1.6142 2.7765 Au
2.2256 1.6142 7.6454 Au
2.2256 3.0596 0.0000 Au
2.2256 4.5050 2.7765 Au
2.2256 4.5050 7.6454 Au
```